# 1
## AlCdCl2 (PBE)

Data for AlCdCl2 after structural relaxation.

## Properties
- final energy (eV/atom) = -2.765
- polymorph energy (0 for the lowest one) (eV/atom) = 0.008
- symmetry = Cm (8)
- raw formation energy (meV/atom) = -677
- D(E_F) (states/eV per cell) = 1.07

a = 6.5793 Å, b = 6.5793 Å, c = 5.4912 Å
α = 63.80°, β = 63.80°, γ = 32.81°
Element x y z (fractional)
Al 0.6041 0.6041 0.6143
Cl 0.7541 0.7541 0.7244
Cd 0.1491 0.1491 0.2123
Cl 0.9926 0.9926 0.9490



# 2
## Tb4Te2Pb (PBE)

Data for Tb4Te2Pb after structural relaxation.

## Properties
- final energy (eV/atom) = -4.908
- symmetry = I4_1/amd (141)
- raw formation energy (meV/atom) = -834
- D(E_F) (states/eV per cell) = 11.60

a = 8.2989 Å, b = 8.2988 Å, c = 8.3017 Å
α = 108.81°, β = 108.82°, γ = 110.79°
Element x y z (fractional)
Tb 0.9413 0.6298 0.6883
Tb 0.3085 0.4971 0.1883
Te 0.6251 0.8750 0.2500
Te 0.6250 0.3750 0.2500
Te 0.6250 0.3750 0.7500
Pb 0.2499 0.7499 0.5000
Tb 0.3088 0.1202 0.8117
Tb 0.9415 0.2529 0.3116
Tb 0.7470 0.0586 0.6884
Tb 0.8797 0.6912 0.1882
Tb 0.5029 0.6915 0.8117
Tb 0.3703 0.0587 0.3117
Pb 0.0001 0.0001 0.0000
Te 0.1250 0.3750 0.7500



# 3
## CoMoPt2 (PBE)

Data for CoMoPt2 after structural relaxation.

## Properties
- final energy (eV/atom) = -7.468
- polymorph energy (0 for the lowest one) (eV/atom) = 0.230
- energy of formation (eV per atom) = 0.0363
- symmetry = F-43m (216)
- D(E_F) (states/eV per cell) = 4.77

a = 4.3693 Å, b = 4.3693 Å, c = 4.3693 Å
α = 60.00°, β = 60.00°, γ = 60.00°
Last column: magnetic moment on the atom in μB.
Element x y z (fractional)
Pt 0.0000 0.0000 0.0000  0.10
Pt 0.2500 0.2500 0.2500  0.01
Mo 0.7500 0.7500 0.7500  0.14
Co 0.5000 0.5000 0.5000  1.59



# 4
## MnHgS2 (PBE)

Data for MnHgS2 after structural relaxation.

## Properties
- final energy (eV/atom) = -4.411
- polymorph energy (0 for the lowest one) (eV/atom) = 0.432
- symmetry = R3m (160)
- raw formation energy (meV/atom) = 20
- D(E_F) (states/eV per cell) = 2.66

a = 6.9807 Å, b = 6.9807 Å, c = 6.9807 Å
α = 31.20°, β = 31.20°, γ = 31.20°
Element x y z (fractional)
S 0.1042 0.1042 0.1042
Hg 0.5107 0.5107 0.5107
S 0.6394 0.6394 0.6394
Mn 0.9967 0.9967 0.9967



# 5
## RbNa7Sn3 (PBE)

Data for RbNa7Sn3 after structural relaxation.

## Properties
- final energy (eV/atom) = -2.049
- energy of formation (eV per atom) = -0.0296
- symmetry = C2/m (12)
- D(E_F) (states/eV per cell) = 4.62

a = 5.9323 Å, b = 8.4384 Å, c = 8.4384 Å
α = 87.44°, β = 110.45°, γ = 110.45°
Element x y z (fractional)
Sn 0.5000 0.0000 0.0000
Na 0.8531 0.8521 0.8521
Rb 0.5000 0.5000 0.5000
Na 0.1469 0.1479 0.1479
Sn 0.0000 0.7644 0.2356
Na 0.6957 0.3918 0.9991
Na 0.3043 0.0009 0.6082
Na 0.3043 0.6082 0.0009
Sn 0.0000 0.2356 0.7644
Na 0.0000 0.5000 0.5000
Na 0.6957 0.9991 0.3918



# 6
## LaSm2Y5Er (PBE)

Data for LaSm2Y5Er after structural relaxation.

## Properties
- final energy (eV/atom) = -5.440
- energy of formation (eV per atom) = 0.2544
- symmetry = I4/mcm (140)
- D(E_F) (states/eV per cell) = 21.39

a = 8.8234 Å, b = 8.8234 Å, c = 9.9171 Å
α = 116.41°, β = 116.41°, γ = 90.00°
Element x y z (fractional)
Y 0.4276 0.3421 0.2697
La 0.7500 0.7500 0.5000
Y 0.5000 0.5000 0.0000
Sm 0.6157 0.1157 0.0000
Sm 0.8843 0.6157 0.0000
La 0.2500 0.2500 0.5000
Y 0.8421 0.9276 0.2697
Y 0.0000 0.0000 0.0000
Er 0.2500 0.7500 0.5000
Er 0.7500 0.2500 0.5000
Y 0.5724 0.6579 0.7303
Y 0.1579 0.0724 0.7303
Y 0.3421 0.8421 0.2697
Sm 0.1157 0.3843 0.0000
Y 0.0724 0.5724 0.7303
Y 0.6579 0.1579 0.7303
Y 0.9276 0.4276 0.2697
Sm 0.3843 0.8843 0.0000



# 7
## Sm6Tl3Rh (PBE)

Data for Sm6Tl3Rh after structural relaxation.

## Properties
- final energy (eV/atom) = -4.622
- polymorph energy (0 for the lowest one) (eV/atom) = 0.000
- energy of formation (eV per atom) = -0.3455
- symmetry = P2_1/m (11)
- D(E_F) (states/eV per cell) = 19.44

a = 5.3815 Å, b = 9.4628 Å, c = 11.5411 Å
α = 106.22°, β = 90.00°, γ = 90.00°
Element x y z (fractional)
Sm 0.7500 0.3140 0.3309
Sm 0.7500 0.7859 0.4999
Sm 0.7500 0.8741 0.8447
Sm 0.2500 0.4577 0.0885
Sm 0.2500 0.0953 0.8590
Sm 0.2500 0.1259 0.1553
Sm 0.7500 0.1473 0.6690
Rh 0.7500 0.0426 0.4012
Tl 0.7500 0.2245 0.0224
Tl 0.2500 0.7755 0.9776
Sm 0.2500 0.2141 0.5001
Tl 0.7500 0.4863 0.6170
Tl 0.7500 0.6045 0.2171
Sm 0.7500 0.5423 0.9115
Tl 0.2500 0.3955 0.7829
Tl 0.2500 0.5137 0.3830
Sm 0.2500 0.6860 0.6691
Sm 0.7500 0.9047 0.1410
Sm 0.2500 0.8527 0.3310
Rh 0.2500 0.9574 0.5988



# 8
## CaTiTeO6 (PBE)

Data for CaTiTeO6 after structural relaxation.

## Properties
- final energy (eV/atom) = -6.990
- symmetry = P-31c (163)
- raw formation energy (meV/atom) = -2236
- D(E_F) (states/eV per cell) = 0.00

a = 5.2173 Å, b = 5.2173 Å, c = 10.1466 Å
α = 90.00°, β = 90.00°, γ = 120.00°
Element x y z (fractional)
O 0.9951 0.6245 0.8566
Ca 0.0000 0.0000 0.5000
O 0.6245 0.6294 0.1434
O 0.6245 0.9951 0.3566
O 0.3706 0.9951 0.1434
O 0.6294 0.0049 0.8566
Ti 0.3333 0.6667 0.7500
Ca 0.0000 0.0000 0.0000
Te 0.3333 0.6667 0.2500
O 0.0049 0.6294 0.3566
O 0.3755 0.3706 0.8566
O 0.3706 0.3755 0.3566
O 0.6294 0.6245 0.6434
O 0.9951 0.3706 0.6434
O 0.0049 0.3755 0.1434
Te 0.6667 0.3333 0.7500
O 0.3755 0.0049 0.6434
Ti 0.6667 0.3333 0.2500



# 9
## LiAg4Sn2 (PBE)

Data for LiAg4Sn2 after structural relaxation.

## Properties
- final energy (eV/atom) = -3.096
- polymorph energy (0 for the lowest one) (eV/atom) = 0.000
- energy of formation (eV per atom) = -0.0496
- symmetry = P1 (1)
- D(E_F) (states/eV per cell) = 4.18

a = 8.6139 Å, b = 7.2236 Å, c = 7.0889 Å
α = 137.77°, β = 98.55°, γ = 96.37°
Element x y z (fractional)
Ag 0.9231 0.9639 0.9018
Ag 0.4028 0.6024 0.0602
Ag 0.5389 0.8358 0.8500
Ag 0.3308 0.9590 0.6286
Sn 0.6286 0.4591 0.2659
Sn 0.0571 0.2271 0.7540
Ag 0.8585 0.3470 0.4974
Ag 0.6882 0.0843 0.6723
Sn 0.4630 0.2166 0.4547
Sn 0.7748 0.7212 0.0735
Ag 0.9923 0.5799 0.3231
Li 0.1978 0.5811 0.6758
Li 0.2689 0.2987 0.1670
Ag 0.1252 0.8739 0.1758



# 10
## Pm4AuSe5 (PBE)

Data for Pm4AuSe5 after structural relaxation.

## Properties
- final energy (eV/atom) = -5.497
- symmetry = C2/m (12)
- raw formation energy (meV/atom) = -1527
- D(E_F) (states/eV per cell) = 3.90

a = 4.1714 Å, b = 9.0036 Å, c = 9.4642 Å
α = 107.69°, β = 102.73°, γ = 90.00°
Element x y z (fractional)
Pm 0.3168 0.8815 0.6335
Se 0.1599 0.8726 0.3199
Pm 0.0041 0.2758 0.0081
Se 0.1615 0.3184 0.3229
Se 0.5000 0.5000 0.0000
Au 0.5000 0.0000 0.0000
Se 0.8385 0.6816 0.6771
Pm 0.6832 0.1185 0.3665
Pm 0.9959 0.7242 0.9919
Se 0.8401 0.1274 0.6801